The following is a DFT calculation (PBE-GGA) of a relaxed Li2PmMgTl2 crystal.

Values from the calculation:
E_form = -0.278 eV/atom
VASP energy = -16.57 eV for the cell shown
Spin magnetization = 0.0 μB/f.u.
Volume = 23.259 A^3/atom

The structure in CIF format:
```
data_Li2PmMgTl2
_chemical_formula_sum 'Li2 Pm1 Mg1 Tl2'
_cell_length_a 4.8593
_cell_length_b 4.8593
_cell_length_c 6.8243
_cell_angle_alpha 90.00
_cell_angle_beta 90.00
_cell_angle_gamma 120.00
_space_group_name_H-M_alt 'P -3 m 1'
_space_group_IT_number 164
_space_group_name_Hall '-P 3 2"'
loop_
_atom_site_label
_atom_site_type_symbol
_atom_site_fract_x
_atom_site_fract_y
_atom_site_fract_z
Li1 Li 0.3333 0.6667 0.1891
Pm1 Pm 0.0000 0.0000 0.5000
Mg1 Mg 0.0000 0.0000 0.0000
Tl1 Tl 0.3333 0.6667 0.7428
```



The following is a DFT calculation (PBE-GGA) of a relaxed LiPmMg2Tl4 crystal.

Values from the calculation:
E_form = -0.213 eV/atom
VASP energy = -63.07 eV for the cell shown
Spin magnetization = 0.0 μB/f.u.
Volume = 24.997 A^3/atom

The structure in CIF format:
```
data_LiPmMg2Tl4
_chemical_formula_sum 'Li3 Pm3 Mg6 Tl12'
_cell_length_a 5.1524
_cell_length_b 5.1524
_cell_length_c 26.0937
_cell_angle_alpha 90.00
_cell_angle_beta 90.00
_cell_angle_gamma 120.00
_space_group_name_H-M_alt 'R -3 m'
_space_group_IT_number 166
_space_group_name_Hall '-R 3 2"'
loop_
_atom_site_label
_atom_site_type_symbol
_atom_site_fract_x
_atom_site_fract_y
_atom_site_fract_z
Li1 Li 0.0000 0.0000 0.0000
Pm1 Pm 0.0000 0.0000 0.5000
Mg1 Mg 0.0000 0.0000 0.2492
Tl1 Tl 0.0000 0.0000 0.1157
Tl2 Tl 0.0000 0.0000 0.3698
```



> What is the formula in the first record?

Li2PmMgTl2